Entry 1:
ReOs2 | GGA-PBE | relaxed

Lattice parameters (Å, degrees): 6.111 6.111 3.890 90.00 90.00 143.03
Atoms (fractional coordinates):
Os (0.251, 0.749, 0.750)
Os (0.417, 0.583, 0.250)
Os (0.583, 0.417, 0.750)
Os (0.749, 0.251, 0.250)
Re (0.084, 0.916, 0.250)
Re (0.916, 0.084, 0.750)

Properties
Electronic total energy, eV per formula unit: -34.66
E_form, eV per atom: 0.08
Energy above the lowest structure with this stoichiometry, meV/atom: 157


Entry 2:
Re6Os7 | GGA-PBE | relaxed

Lattice parameters (Å, degrees): 9.355 9.355 9.355 31.42 31.42 31.42
Atoms (fractional coordinates):
Os (0.590, 0.081, 0.590)
Os (0.081, 0.590, 0.590)
Os (0.410, 0.410, 0.919)
Os (0.919, 0.410, 0.410)
Os (0.410, 0.919, 0.410)
Os (0.590, 0.590, 0.081)
Os (0.500, 0.500, 0.500)
Re (0.338, 0.338, 0.338)
Re (0.953, 0.953, 0.953)
Re (0.662, 0.662, 0.662)
Re (0.852, 0.852, 0.852)
Re (0.047, 0.047, 0.047)
Re (0.148, 0.148, 0.148)

Properties
Electronic total energy, eV per formula unit: -148.80
E_form, eV per atom: 0.35


> Which value of E_form does entry 1 give?

0.08 eV per atom


> Which value of E_form does entry 2 give?

0.35 eV per atom


> Which of these has the highest electronic total energy?

ReOs2


> Number 2 is which compound?

Re6Os7